1) # ScCr2Br

A crystal of ScCr2Br relaxed with PBEsol (meta-GGA SCAN, Alexandria via LeMat-Bulk).

## Properties
Density of states at the Fermi level, states/eV/f.u.: 3.7
V, Å³/atom: 15.3
Space group: P4/mmm (123)

a = 3.267 Å, b = 4.322 Å, c = 4.322 Å
α = 90.00°, β = 90.00°, γ = 90.00°
Site moments in Bohr magnetons follow the coordinates.
Sites, in units of the cell vectors:
Sc1 0.500 0.500 0.500  -0.36
Cr1 0.000 0.500 0.000  2.36
Cr2 0.000 0.000 0.500  2.36
Br1 0.500 0.000 0.000  -0.02

2) # ScCr2Br

A crystal of ScCr2Br relaxed with PBEsol (meta-GGA SCAN, Alexandria via LeMat-Bulk).

## Properties
Density of states at the Fermi level, states/eV/f.u.: 2.3
V, Å³/atom: 16.9
Space group: Imm2 (44)

a = 3.209 Å, b = 4.874 Å, c = 5.218 Å
α = 117.84°, β = 107.91°, γ = 90.00°
Site moments in Bohr magnetons follow the coordinates.
Sites, in units of the cell vectors:
Cr1 0.706 0.206 0.412  3.26
Br1 0.279 0.779 0.559  0.01
Cr2 0.011 0.011 0.022  -3.13
Sc1 0.503 0.503 0.007  0.12

3) # ScCr2Br

A crystal of ScCr2Br relaxed with PBEsol (meta-GGA SCAN, Alexandria via LeMat-Bulk).

## Properties
Density of states at the Fermi level, states/eV/f.u.: 2.2
V, Å³/atom: 17.0
Space group: Amm2 (38)

a = 3.073 Å, b = 3.095 Å, c = 7.330 Å
α = 102.17°, β = 90.00°, γ = 90.00°
Site moments in Bohr magnetons follow the coordinates.
Sites, in units of the cell vectors:
Sc1 0.000 0.424 0.473  0.52
Br1 0.500 0.056 0.738  0.00
Cr1 0.500 0.799 0.222  -2.51
Cr2 0.000 0.221 0.066  3.15

Tell me which of them is the least stable. Sure, it is 1).

1) # SrSbMo

A crystal of SrSbMo relaxed with PBEsol (meta-GGA SCAN, Alexandria via LeMat-Bulk).

## Properties
Density of states at the Fermi level, states/eV/f.u.: 3.9
V, Å³/atom: 26.7
Space group: F-43m (216)

a = 4.840 Å, b = 4.840 Å, c = 4.840 Å
α = 60.00°, β = 60.00°, γ = 60.00°
Site moments in Bohr magnetons follow the coordinates.
Sites, in units of the cell vectors:
Mo1 0.500 0.500 0.500  0.29
Sb1 0.750 0.750 0.750  -0.02
Sr1 0.000 0.000 0.000  -0.01

2) # SrSbMo

A crystal of SrSbMo relaxed with PBEsol (meta-GGA SCAN, Alexandria via LeMat-Bulk).

## Properties
Density of states at the Fermi level, states/eV/f.u.: 1.1
V, Å³/atom: 25.5
Space group: P3m1 (156)

a = 3.626 Å, b = 3.626 Å, c = 6.725 Å
α = 90.00°, β = 90.00°, γ = 120.00°
Site moments in Bohr magnetons follow the coordinates.
Sites, in units of the cell vectors:
Sr1 0.333 0.667 0.326  0.09
Mo1 0.000 0.000 0.959  0.76
Sb1 0.667 0.333 0.714  -0.01

Tell me which of them is the least stable. Sure, it is 1).